# 1
Below is an optimized crystal structure of Sm2DyHo4Tm, with properties calculated at the PBE level.

a = 9.4728 Å, b = 9.4728 Å, c = 11.7396 Å
α = 128.29°, β = 128.29°, γ = 88.65°
Closest atoms and distances in Å follow each position.
Fractional positions:
Sm: 0.5000 0.0000 0.0000  6 Ho 3.33-3.39, 2 Dy 3.39
Sm: 0.5000 0.0000 0.5000  6 Ho 3.33-3.39, 2 Dy 3.39
Sm: 0.0000 0.0000 0.5000  6 Ho 3.36-3.43, 2 Sm 3.39
Sm: 0.5000 0.5000 0.0000  6 Ho 3.36-3.43, 2 Sm 3.39
Dy: 0.0000 0.5000 0.0000  6 Ho 3.29-3.39, 2 Sm 3.39
Dy: 0.0000 0.5000 0.5000  6 Ho 3.29-3.39, 2 Sm 3.39
Ho: 0.2453 0.7528 0.9989  1 Tm 3.26, 3 Sm 3.36-3.39, 2 Ho 3.37-3.40, 2 Dy 3.38-3.39
Ho: 0.7472 0.2547 0.5011  1 Tm 3.26, 3 Sm 3.36-3.39, 2 Ho 3.37-3.40, 2 Dy 3.38-3.39
Ho: 0.2528 0.7453 0.4989  1 Tm 3.26, 3 Sm 3.36-3.39, 2 Ho 3.37-3.40, 2 Dy 3.38-3.39
Ho: 0.7547 0.2472 0.0011  1 Tm 3.26, 3 Sm 3.36-3.39, 2 Ho 3.37-3.40, 2 Dy 3.38-3.39
Ho: 0.7492 0.7468 0.9944  1 Dy 3.29, 3 Sm 3.33-3.43, 2 Tm 3.35-3.36, 2 Ho 3.39
Ho: 0.7532 0.7508 0.5056  1 Dy 3.29, 3 Sm 3.33-3.43, 2 Tm 3.35-3.36, 2 Ho 3.39
Ho: 0.2468 0.2493 0.4944  1 Dy 3.29, 3 Sm 3.33-3.43, 2 Tm 3.35-3.36, 2 Ho 3.39
Ho: 0.2507 0.2532 0.0056  1 Dy 3.29, 3 Sm 3.33-3.43, 2 Tm 3.35-3.36, 2 Ho 3.39
Tm: 0.5000 0.5000 0.5000  6 Ho 3.26-3.36, 2 Tm 3.39
Tm: 0.0000 0.0000 0.0000  6 Ho 3.26-3.36, 2 Tm 3.39

Values from the calculation:
Calculated formation energy in eV/f.u.: 3.51
Calculated density in g cm⁻³: 8.15
Crystal system: monoclinic
Symmetry: No. 15
M_tot in μB per formula unit: 3.261



# 2
Below is an optimized crystal structure of TbDy6Y12, with properties calculated at the PBE level.

a = 9.1374 Å, b = 9.1374 Å, c = 9.1374 Å
α = 106.65°, β = 106.65°, γ = 106.65°
Closest atoms and distances in Å follow each position.
Fractional positions:
Tb: 0.0000 0.0000 0.0000  6 Y 3.52, 6 Dy 3.76
Dy: 0.0769 0.1858 0.4529  8 Y 3.33-3.63, 1 Dy 3.72
Dy: 0.8142 0.5471 0.9231  8 Y 3.33-3.63, 1 Dy 3.72
Dy: 0.5471 0.9231 0.8142  8 Y 3.33-3.63, 1 Dy 3.72
Dy: 0.9231 0.8142 0.5471  8 Y 3.33-3.63, 1 Dy 3.72
Dy: 0.1858 0.4529 0.0769  8 Y 3.33-3.63, 1 Dy 3.72
Dy: 0.4529 0.0769 0.1858  8 Y 3.33-3.63, 1 Dy 3.72
Y: 0.4818 0.1906 0.5767  3 Dy 3.33-3.57, 6 Y 3.36-3.51
Y: 0.1906 0.5767 0.4818  3 Dy 3.33-3.57, 6 Y 3.36-3.51
Y: 0.5767 0.4818 0.1906  3 Dy 3.33-3.57, 6 Y 3.36-3.51
Y: 0.5182 0.8094 0.4233  3 Dy 3.33-3.57, 6 Y 3.36-3.51
Y: 0.8094 0.4233 0.5182  3 Dy 3.33-3.57, 6 Y 3.36-3.51
Y: 0.4233 0.5182 0.8094  3 Dy 3.33-3.57, 6 Y 3.36-3.51
Y: 0.2813 0.1369 0.8257  5 Dy 3.36-3.63, 3 Y 3.36-3.50, 1 Tb 3.52
Y: 0.1743 0.7187 0.8631  5 Dy 3.36-3.63, 3 Y 3.36-3.50, 1 Tb 3.52
Y: 0.8631 0.1743 0.7187  5 Dy 3.36-3.63, 3 Y 3.36-3.50, 1 Tb 3.52
Y: 0.7187 0.8631 0.1743  5 Dy 3.36-3.63, 3 Y 3.36-3.50, 1 Tb 3.52
Y: 0.8257 0.2813 0.1369  5 Dy 3.36-3.63, 3 Y 3.36-3.50, 1 Tb 3.52
Y: 0.1369 0.8257 0.2813  5 Dy 3.36-3.63, 3 Y 3.36-3.50, 1 Tb 3.52

Values from the calculation:
Calculated formation energy in eV/f.u.: 4.85
Calculated density in g cm⁻³: 5.70
Crystal system: trigonal
Symmetry: No. 148
Offset from the most stable computed form in meV per atom: 104
M_tot in μB per formula unit: 0.000



# 3
Below is an optimized crystal structure of AlSiRu2, with properties calculated at the PBE level.

a = 8.3315 Å, b = 8.3315 Å, c = 8.3315 Å
α = 19.52°, β = 19.52°, γ = 19.52°
Closest atoms and distances in Å follow each position.
Fractional positions:
Ru: 0.0010 0.0010 0.0010  3 Al 2.57, 9 Ru 2.72-2.83
Ru: 0.2457 0.2457 0.2457  3 Si 2.45, 3 Ru 2.72
Si: 0.5046 0.5046 0.5046  3 Ru 2.45, 3 Al 2.73
Al: 0.7487 0.7487 0.7487  3 Ru 2.57, 3 Si 2.73, 6 Al 2.83

Values from the calculation:
Calculated density in g cm⁻³: 7.56
Crystal system: trigonal
Symmetry: No. 160
Formation energy from raw total energies in eV/atom: -0.148
Offset from the most stable computed form in meV per atom: 567
M_tot in μB per formula unit: 0.000



# 4
Below is an optimized crystal structure of Sr2ZnCrRh, with properties calculated at the PBE level.

a = 5.7888 Å, b = 4.6907 Å, c = 5.7888 Å
α = 90.00°, β = 90.00°, γ = 90.00°
Closest atoms and distances in Å follow each position.
Fractional positions:
Sr: 0.0000 0.0000 0.5000  2 Cr 2.89
Sr: 0.5000 0.0000 0.0000  2 Cr 2.89
Zn: 0.0000 0.5000 0.0000  2 Cr 2.35
Rh: 0.5000 0.5000 0.5000  8 Sr 3.73, 4 Zn 4.09
Cr: 0.0000 0.0000 0.0000  2 Zn 2.35

Values from the calculation:
Calculated formation energy in eV/f.u.: 4.32
Calculated density in g cm⁻³: 4.18
Crystal system: tetragonal
Symmetry: No. 123
M_tot in μB per formula unit: 4.963



# 5
Below is an optimized crystal structure of Ho2InCu, with properties calculated at the PBE level.

a = 3.4985 Å, b = 3.4985 Å, c = 10.6163 Å
α = 80.52°, β = 80.52°, γ = 60.00°
Closest atoms and distances in Å follow each position.
Fractional positions:
Ho: 0.1022 0.1022 0.6933  3 Cu 2.85
Ho: 0.8978 0.8978 0.3067  3 Cu 2.85
Cu: 0.5000 0.5000 0.5000  6 Ho 2.85
In: 0.0000 0.0000 0.0000  2 Ho 3.20, 6 In 3.50

Values from the calculation:
Calculated formation energy in eV/f.u.: 0.55
Calculated density in g cm⁻³: 7.64
Crystal system: trigonal
Symmetry: No. 166
M_tot in μB per formula unit: 0.000



# 6
Below is an optimized crystal structure of NpUHg, with properties calculated at the PBE level.

a = 4.5558 Å, b = 5.2856 Å, c = 10.9790 Å
α = 90.00°, β = 90.00°, γ = 90.00°
Closest atoms and distances in Å follow each position.
Fractional positions:
Np: 0.2500 0.8535 0.5987  3 U 2.56-2.60
Np: 0.7500 0.1465 0.4013  3 U 2.56-2.60
Np: 0.2500 0.3535 0.9013  3 U 2.56-2.60
Np: 0.7500 0.6465 0.0987  3 U 2.56-2.60
Hg: 0.2500 0.7401 0.3064  2 Hg 2.92, 3 U 3.16-3.17, 3 Np 3.26
Hg: 0.7500 0.2599 0.6936  2 Hg 2.92, 3 U 3.16-3.17, 3 Np 3.26
Hg: 0.2500 0.2401 0.1936  2 Hg 2.92, 3 U 3.16-3.17, 3 Np 3.26
Hg: 0.7500 0.7599 0.8064  2 Hg 2.92, 3 U 3.16-3.17, 3 Np 3.26
U: 0.2500 0.7858 0.0070  3 Np 2.56-2.60
U: 0.7500 0.2142 0.9930  3 Np 2.56-2.60
U: 0.2500 0.2858 0.4930  3 Np 2.56-2.60
U: 0.7500 0.7142 0.5070  3 Np 2.56-2.60

Values from the calculation:
Calculated formation energy in eV/f.u.: 0.86
Calculated density in g cm⁻³: 16.97
Crystal system: orthorhombic
Symmetry: No. 62
M_tot in μB per formula unit: 2.122



# 7
Below is an optimized crystal structure of HfAuNF2, with properties calculated at the PBE level.

a = 4.3944 Å, b = 4.3944 Å, c = 3.9866 Å
α = 90.00°, β = 90.00°, γ = 90.00°
Closest atoms and distances in Å follow each position.
Fractional positions:
Hf: 0.5000 0.5000 0.5000  8 F 2.97, 4 N 3.11
N: 0.0000 0.0000 0.5000  2 Au 1.99
Au: 0.0000 0.0000 0.0000  2 N 1.99, 4 F 2.20
F: 0.0000 0.5000 0.0000  2 Au 2.20
F: 0.5000 0.0000 0.0000  2 Au 2.20

Values from the calculation:
Calculated density in g cm⁻³: 9.22
Crystal system: tetragonal
Symmetry: No. 123
Formation energy from raw total energies in eV/atom: 0.243
Offset from the most stable computed form in meV per atom: 1775
M_tot in μB per formula unit: 0.385



# 8
Below is an optimized crystal structure of Ba2As2Au, with properties calculated at the PBE level.

a = 4.5888 Å, b = 6.5000 Å, c = 11.4376 Å
α = 76.49°, β = 78.43°, γ = 69.33°
Closest atoms and distances in Å follow each position.
Fractional positions:
Ba: 0.3027 0.7489 0.6457  7 As 3.40-3.62, 4 Au 3.47-3.63
Ba: 0.0838 0.7363 0.0962  6 As 3.36-3.62, 2 Au 3.50, 1 Ba 3.53
Ba: 0.6973 0.2511 0.3543  7 As 3.40-3.62, 4 Au 3.47-3.63
Ba: 0.9162 0.2637 0.9038  6 As 3.36-3.62, 2 Au 3.50, 1 Ba 3.53
As: 0.9528 0.6758 0.4186  1 As 2.55, 2 Au 2.66
As: 0.3416 0.1759 0.1408  1 Au 2.61
As: 0.0472 0.3242 0.5814  1 As 2.55, 2 Au 2.66
As: 0.6584 0.8241 0.8592  1 Au 2.61
Au: 0.4261 0.8307 0.3170  3 As 2.61-2.66
Au: 0.5739 0.1693 0.6830  3 As 2.61-2.66

Values from the calculation:
Calculated formation energy in eV/f.u.: -4.63
Calculated density in g cm⁻³: 6.71
Crystal system: monoclinic
Symmetry: No. 12
Offset from the most stable computed form in meV per atom: 0
M_tot in μB per formula unit: 0.000